Material: TaTi2Cr
Method: DFT, PBE
State: relaxed

abc: 3.0415 3.0415 6.8356
angles: 90.00 90.00 90.00
Atoms (fractional coordinates):
Ti  0.0000  0.0000  0.7862
Ti  0.0000  0.0000  0.2138
Cr  0.5000  0.5000  0.0000
Ta  0.5000  0.5000  0.5000

Values from the calculation:
mass density: 8.63 Mg/m³
energy of formation from the pure elements: 0.070 eV per atom
symmetry: P4/mmm

***

Material: Ta2TiCr
Method: DFT, PBE
State: relaxed

abc: 4.4961 4.4961 4.4961
angles: 60.00 60.00 60.00
Atoms (fractional coordinates):
Ta  0.2500  0.2500  0.2500
Ta  0.7500  0.7500  0.7500
Ti  0.0000  0.0000  0.0000
Cr  0.5000  0.5000  0.5000

Values from the calculation:
mass density: 11.93 Mg/m³
energy of formation from the pure elements: 0.075 eV per atom
symmetry: Fm-3m

***

Material: Ta2TiCr
Method: DFT, PBE
State: relaxed

abc: 3.0008 3.0008 8.7941
angles: 80.18 80.18 60.00
Atoms (fractional coordinates):
Ta  0.7423  0.7423  0.7732
Ta  0.2577  0.2577  0.2268
Cr  0.0000  0.0000  0.0000
Ti  0.5000  0.5000  0.5000

Values from the calculation:
mass density: 11.40 Mg/m³
energy of formation from the pure elements: 0.268 eV per atom
symmetry: R-3m

***

| no. | DOS at the Fermi energy (states/eV per atom) |
| --- | --- |
| 1 | 1.45 |
| 2 | 1.87 |
| 3 | 1.46 |